## SmYBiSe (PBE-GGA)

Data for SmYBiSe after structural relaxation.

abc: 4.2569 4.2569 22.1216
angles: 90.00 90.00 120.00
With the nearest neighbours (Å) after each atom.
Space group R3m (No. 160, hexagonal axes)
Inequivalent atoms, fractional coordinates:
Sm 0.0000 0.0000 0.0000 x3  3 Se 3.03, 3 Bi 3.20
Y 0.0000 0.0000 0.8172 x3  3 Se 2.91, 3 Bi 3.16
Bi 0.0000 0.0000 0.2403 x3  3 Y 3.16, 3 Sm 3.20
Se 0.0000 0.0000 0.4137 x3  3 Y 2.91, 3 Sm 3.03

Summary:
Uncorrected energy (eV per formula unit): -23.69
Density (g/cm³): 7.56
Energy relative to the elements, uncorrected (eV per atom): -1.286
DOS at the Fermi energy (states/eV/f.u.): 2.65
Size of the total moment (Bohr magnetons per cell): 0.00

## Sn2BiSe (PBE-GGA)

Data for Sn2BiSe after structural relaxation.

abc: 6.1995 6.1995 15.8453
angles: 90.00 90.00 90.00
With the nearest neighbours (Å) after each atom.
Space group I-42d (No. 122)
Inequivalent atoms, fractional coordinates:
Sn 0.2132 0.2500 0.1250 x8  2 Se 2.84, 2 Bi 3.08
Bi 0.0000 0.0000 0.5000 x4  4 Sn 3.08
Se 0.0000 0.0000 0.0000 x4  4 Sn 2.84

Summary:
Uncorrected energy (eV per formula unit): -15.19
Density (g/cm³): 5.73
Polymorph energy (0 for the lowest one) (eV/atom): 0.133
Energy relative to the elements, uncorrected (eV per atom): 0.044
DOS at the Fermi energy (states/eV/f.u.): 1.29
Size of the total moment (Bohr magnetons per cell): 0.00